1.
Computed, not measured: a geometry-optimized ReNiH structure at the GGA-PBE level of DFT.

Computed properties:
- Distance to the lowest polymorph of the same formula: 0 meV per atom
- Space-group type: Pmmn
- M_tot: 0.00 μB/f.u.

Cell and atoms, written as POSCAR:
```
ReNiH
1.0
-2.379 -1.309 -2.719
1.210 -5.050 1.374
-2.064 -0.003 1.807
Re Ni H
2 2 2
Cartesian
-1.438 -6.114 -0.512 Re
-1.557 -4.305 1.436 Re
-2.037 -3.610 -1.194 Ni
-2.168 -1.757 0.744 Ni
-3.349 -2.454 -0.608 H
-0.859 -2.919 0.153 H
```

---

2.
Computed, not measured: a geometry-optimized ReNiH2 structure at the GGA-PBE level of DFT.

Computed properties:
- Distance to the lowest polymorph of the same formula: 0 meV per atom
- Space-group type: I-42d
- M_tot: 0.00 μB/f.u.

Cell and atoms, written as POSCAR:
```
ReNiH2
1.0
4.037 0.000 0.000
0.000 4.037 0.000
2.019 2.019 3.956
Re Ni H
2 2 4
Cartesian
4.037 2.019 1.978 Re
0.000 0.000 0.000 Re
2.019 2.019 0.000 Ni
2.019 4.037 1.978 Ni
1.177 3.028 0.989 H
5.047 4.879 2.967 H
3.028 3.195 2.967 H
2.861 1.009 0.989 H
```

---

3.
Computed, not measured: a geometry-optimized ReNiH structure at the GGA-PBE level of DFT.

Computed properties:
- Distance to the lowest polymorph of the same formula: 11 meV per atom
- Space-group type: P2_1/m
- M_tot: 0.00 μB/f.u.

Cell and atoms, written as POSCAR:
```
ReNiH
1.0
-0.764 -0.279 -4.313
1.491 -4.455 -0.007
-2.544 -0.852 0.506
Re Ni H
2 2 2
Cartesian
0.727 -4.530 -2.958 Re
-0.444 -4.028 -0.630 Re
-1.311 -2.661 -2.690 Ni
0.104 -1.441 -0.889 Ni
-1.973 -1.419 -3.927 H
0.000 -2.961 -3.968 H
```

---

4.
Computed, not measured: a geometry-optimized Re3NiH structure at the GGA-PBE level of DFT.

Computed properties:
- Distance to the lowest polymorph of the same formula: 0 meV per atom
- Space-group type: Pm-3m
- M_tot: 0.00 μB/f.u.

Cell and atoms, written as POSCAR:
```
Re3NiH
1.0
-2.860 -0.106 -2.627
-0.227 -3.857 0.403
-2.619 0.450 2.833
Re H Ni
3 1 1
Cartesian
-1.310 0.225 1.417 Re
-0.113 -1.928 0.201 Re
-1.430 -0.053 -1.313 Re
0.000 0.000 0.000 H
-2.853 -1.757 0.304 Ni
```

---

5.
Computed, not measured: a geometry-optimized ReNi2H4 structure at the GGA-PBE level of DFT.

Computed properties:
- Space-group type: I4/mmm
- M_tot: 0.00 μB/f.u.
- Raw total energy: -34.4 eV per cell

Cell and atoms, written as POSCAR:
```
ReNi2H4
1.0
3.497 0.000 0.000
0.000 3.497 0.000
1.749 1.749 4.561
H Ni Re
4 2 1
Cartesian
0.000 1.749 0.000 H
3.497 3.497 1.750 H
1.749 0.000 0.000 H
1.749 1.749 2.810 H
1.749 1.749 1.207 Ni
3.497 3.497 3.354 Ni
0.000 0.000 0.000 Re
```

---

6.
Computed, not measured: a geometry-optimized ReNiH structure at the GGA-PBE level of DFT.

Computed properties:
- Distance to the lowest polymorph of the same formula: 20 meV per atom
- Space-group type: Pmn2_1
- M_tot: 0.00 μB/f.u.

Cell and atoms, written as POSCAR:
```
ReNiH
1.0
-3.760 1.311 -1.815
0.118 -3.704 -2.921
-1.394 -1.480 1.820
H Re Ni
2 2 2
Cartesian
-2.724 -0.752 -0.369 H
-0.096 -2.237 -1.609 H
-2.981 -2.614 -4.126 Re
-1.819 -3.348 -1.786 Re
-1.153 -0.815 -1.263 Ni
-3.712 -1.461 -1.703 Ni
```

---

7.
Computed, not measured: a geometry-optimized ReNiH structure at the GGA-PBE level of DFT.

Computed properties:
- Distance to the lowest polymorph of the same formula: 208 meV per atom
- Space-group type: Pnma
- M_tot: 0.00 μB/f.u.

Cell and atoms, written as POSCAR:
```
ReNiH
1.0
4.483 0.000 0.000
0.000 5.553 0.000
0.000 0.000 4.499
Re Ni H
4 4 4
Cartesian
2.241 0.000 2.250 Re
2.241 2.776 2.250 Re
0.000 2.776 0.000 Re
0.000 0.000 0.000 Re
2.242 1.388 0.131 Ni
0.001 1.388 2.118 Ni
2.240 4.164 4.368 Ni
4.482 4.164 2.381 Ni
3.382 4.164 1.105 H
1.101 1.388 3.394 H
1.140 4.164 1.144 H
3.343 1.388 3.355 H
```

---

8.
Computed, not measured: a geometry-optimized ReNiHRh2 structure at the GGA-PBE level of DFT.

Computed properties:
- Distance to the lowest polymorph of the same formula: 0 meV per atom
- Space-group type: P4/mmm
- M_tot: 0.93 μB/f.u.

Cell and atoms, written as POSCAR:
```
ReNiHRh2
1.0
3.879 0.000 0.000
0.000 3.879 0.000
0.000 0.000 3.782
Re H Rh Ni
1 1 2 1
Cartesian
1.940 1.940 1.891 Re
0.000 0.000 0.000 H
1.940 0.000 0.000 Rh
0.000 1.940 0.000 Rh
0.000 0.000 1.891 Ni
```